[1]
Below is Nd2Ga3Au9 after structural relaxation, with properties calculated at the PBE-GGA level.

Lattice parameters (Å, degrees): 8.106 8.106 10.842 89.95 111.89 120.16
Atoms (fractional coordinates):
Au 0.112 0.862 0.250
Au 0.129 0.982 0.931
Au 0.124 0.142 0.429
Au 0.316 0.299 0.239
Au 0.213 0.695 0.071
Au 0.876 0.858 0.571
Au 0.551 0.198 0.569
Au 0.441 0.924 0.739
Au 0.555 0.355 0.084
Au 0.449 0.802 0.431
Au 0.888 0.138 0.750
Au 0.229 0.529 0.584
Au 0.771 0.471 0.416
Au 0.559 0.076 0.261
Au 0.787 0.305 0.929
Au 0.684 0.701 0.761
Au 0.871 0.018 0.069
Au 0.445 0.645 0.916
Ga 0.500 0.000 0.000
Ga 0.181 0.361 0.994
Ga 0.867 0.187 0.506
Ga 0.500 0.500 0.500
Ga 0.819 0.639 0.006
Ga 0.133 0.813 0.494
Nd 0.663 0.752 0.246
Nd 0.337 0.248 0.754
Nd 0.007 0.417 0.254
Nd 0.993 0.583 0.746

As for the energy of formation: -0.496 eV/atom. The total moment is 0.000 Bohr magnetons per cell. Its crystal system is monoclinic.


[2]
Below is Nd6Ga2Au after structural relaxation, with properties calculated at the PBE-GGA level.

Lattice parameters (Å, degrees): 8.817 8.817 8.817 106.82 111.40 110.24
Atoms (fractional coordinates):
Nd 0.093 0.267 0.826
Nd 0.559 0.733 0.826
Nd 0.806 0.255 0.062
Nd 0.292 0.964 0.672
Nd 0.194 0.255 0.449
Nd 0.806 0.745 0.551
Nd 0.194 0.745 0.938
Nd 0.708 0.036 0.328
Nd 0.292 0.619 0.328
Nd 0.441 0.267 0.174
Nd 0.708 0.381 0.672
Nd 0.907 0.733 0.174
Au 0.000 0.000 0.000
Au 0.000 0.500 0.500
Ga 0.500 0.622 0.122
Ga 0.500 0.378 0.878
Ga 0.641 0.000 0.641
Ga 0.359 0.000 0.359

As for the energy of formation: -0.407 eV/atom. The total moment is 0.000 Bohr magnetons per cell. Its crystal system is orthorhombic. As for the energy above the most stable polymorph in this dataset: 0 meV per atom.


[3]
Below is Nd2GaAu2 after structural relaxation, with properties calculated at the PBE-GGA level.

Lattice parameters (Å, degrees): 4.452 5.944 10.189 87.04 77.38 68.01
Atoms (fractional coordinates):
Au 0.643 0.830 0.884
Au 0.077 0.275 0.571
Au 0.923 0.725 0.429
Au 0.357 0.170 0.116
Ga 0.374 0.908 0.345
Ga 0.626 0.092 0.655
Nd 0.671 0.315 0.343
Nd 0.918 0.273 0.891
Nd 0.082 0.727 0.109
Nd 0.329 0.685 0.657

As for the energy of formation: -0.738 eV/atom. The total moment is 0.000 Bohr magnetons per cell. Its crystal system is monoclinic.


[4]
Below is Nd2Ga2Au after structural relaxation, with properties calculated at the PBE-GGA level.

Lattice parameters (Å, degrees): 4.547 5.917 9.971 86.00 76.82 67.40
Atoms (fractional coordinates):
Ga 0.632 0.843 0.894
Ga 0.079 0.286 0.557
Ga 0.368 0.157 0.106
Ga 0.921 0.714 0.443
Nd 0.689 0.294 0.329
Nd 0.077 0.734 0.112
Nd 0.311 0.706 0.671
Nd 0.923 0.266 0.888
Au 0.387 0.884 0.341
Au 0.613 0.116 0.659

As for the energy of formation: -0.698 eV/atom. The total moment is 0.000 Bohr magnetons per cell. Its crystal system is monoclinic.


[5]
Below is NdGa2Au4 after structural relaxation, with properties calculated at the PBE-GGA level.

Lattice parameters (Å, degrees): 4.580 6.843 17.810 90.00 90.00 90.00
Atoms (fractional coordinates):
Nd 0.750 0.509 0.136
Nd 0.250 0.491 0.864
Nd 0.250 0.009 0.364
Nd 0.750 0.991 0.636
Au 0.750 0.700 0.964
Au 0.750 0.015 0.077
Au 0.250 0.300 0.036
Au 0.250 0.816 0.178
Au 0.750 0.800 0.464
Au 0.250 0.515 0.423
Au 0.750 0.485 0.577
Au 0.750 0.772 0.806
Au 0.750 0.728 0.306
Au 0.250 0.200 0.536
Au 0.250 0.228 0.194
Au 0.250 0.684 0.678
Au 0.750 0.184 0.822
Au 0.250 0.272 0.694
Au 0.250 0.985 0.923
Au 0.750 0.316 0.322
Ga 0.250 0.969 0.778
Ga 0.750 0.031 0.222
Ga 0.250 0.772 0.537
Ga 0.250 0.531 0.278
Ga 0.750 0.228 0.463
Ga 0.750 0.469 0.722
Ga 0.750 0.272 0.963
Ga 0.250 0.728 0.037

As for the energy of formation: -0.500 eV/atom. The total moment is 0.000 Bohr magnetons per cell. Its crystal system is orthorhombic.


[6]
Below is Nd4GaAu3 after structural relaxation, with properties calculated at the PBE-GGA level.

Lattice parameters (Å, degrees): 3.914 4.739 11.417 90.00 90.00 90.00
Atoms (fractional coordinates):
Nd 0.000 0.500 0.860
Nd 0.500 0.000 0.637
Nd 0.000 0.000 0.141
Nd 0.500 0.500 0.359
Au 0.000 0.500 0.585
Au 0.500 0.000 0.918
Au 0.000 0.000 0.417
Ga 0.500 0.500 0.082

As for the energy of formation: -0.721 eV/atom. The total moment is 0.000 Bohr magnetons per cell. Its crystal system is orthorhombic.


[7]
Below is NdGa2Ni5Au after structural relaxation, with properties calculated at the PBE-GGA level.

Lattice parameters (Å, degrees): 3.856 3.856 9.223 90.00 90.00 90.00
Atoms (fractional coordinates):
Ni 0.000 0.500 0.722
Ni 0.500 0.500 0.500
Ni 0.000 0.500 0.278
Ni 0.500 0.000 0.722
Ni 0.500 0.000 0.278
Au 0.000 0.000 0.000
Ga 0.500 0.500 0.867
Ga 0.500 0.500 0.133
Nd 0.000 0.000 0.500

As for the energy of formation: -0.049 eV/atom. The total moment is 0.000 Bohr magnetons per cell. Its crystal system is tetragonal.


[8]
Below is NdGa3NiAu after structural relaxation, with properties calculated at the PBE-GGA level.

Lattice parameters (Å, degrees): 6.170 6.001 6.858 115.95 90.00 90.00
Atoms (fractional coordinates):
Au 0.250 0.345 0.690
Au 0.750 0.655 0.310
Ga 0.000 0.716 0.000
Ga 0.250 0.136 0.273
Ga 0.000 0.284 0.000
Ga 0.500 0.716 0.000
Ga 0.500 0.284 0.000
Ga 0.750 0.864 0.727
Ni 0.250 0.940 0.879
Ni 0.750 0.060 0.121
Nd 0.250 0.723 0.445
Nd 0.750 0.277 0.555

As for the energy of formation: -0.378 eV/atom. The total moment is 0.000 Bohr magnetons per cell. Its crystal system is orthorhombic.


[9]
Below is NdGaPbAu after structural relaxation, with properties calculated at the PBE-GGA level.

Lattice parameters (Å, degrees): 5.178 5.178 5.178 60.00 60.00 60.00
Atoms (fractional coordinates):
Pb 0.000 0.000 0.000
Ga 0.250 0.250 0.250
Nd 0.500 0.500 0.500
Au 0.750 0.750 0.750

As for the energy of formation: -0.410 eV/atom. The total moment is 0.000 Bohr magnetons per cell. Its crystal system is cubic.


[10]
Below is Nd2Ga3PdAu4 after structural relaxation, with properties calculated at the PBE-GGA level.

Lattice parameters (Å, degrees): 4.276 4.276 11.416 90.00 90.00 90.00
Atoms (fractional coordinates):
Nd 0.500 0.000 0.251
Nd 0.000 0.500 0.749
Au 0.000 0.000 0.000
Au 0.500 0.000 0.649
Au 0.000 0.500 0.351
Au 0.500 0.500 0.000
Ga 0.000 0.000 0.500
Ga 0.500 0.000 0.869
Ga 0.000 0.500 0.131
Pd 0.500 0.500 0.500

As for the energy of formation: -0.609 eV/atom. The total moment is 0.000 Bohr magnetons per cell. Its crystal system is tetragonal.


[11]
Below is Nd2Ga2Pd5Au after structural relaxation, with properties calculated at the PBE-GGA level.

Lattice parameters (Å, degrees): 3.758 10.008 10.008 90.00 90.00 90.00
Atoms (fractional coordinates):
Pd 0.500 0.440 0.293
Pd 0.500 0.500 0.000
Pd 0.500 0.707 0.440
Pd 0.500 0.207 0.060
Pd 0.500 0.793 0.940
Pd 0.500 0.940 0.207
Pd 0.500 0.293 0.560
Pd 0.500 0.560 0.707
Pd 0.500 0.060 0.793
Pd 0.500 0.000 0.500
Ga 0.000 0.881 0.381
Ga 0.000 0.119 0.619
Ga 0.000 0.619 0.881
Ga 0.000 0.381 0.119
Nd 0.000 0.321 0.821
Nd 0.000 0.679 0.179
Nd 0.000 0.821 0.679
Nd 0.000 0.179 0.321
Au 0.000 0.000 0.000
Au 0.000 0.500 0.500

As for the energy of formation: -0.648 eV/atom. The total moment is 0.000 Bohr magnetons per cell. Its crystal system is tetragonal.


[12]
Below is Nd2Ga4Pd3Au after structural relaxation, with properties calculated at the PBE-GGA level.

Lattice parameters (Å, degrees): 4.310 4.310 10.628 90.00 90.00 90.00
Atoms (fractional coordinates):
Ga 0.000 0.500 0.363
Ga 0.500 0.500 0.000
Ga 0.500 0.000 0.637
Ga 0.000 0.000 0.000
Nd 0.500 0.000 0.242
Nd 0.000 0.500 0.758
Au 0.500 0.500 0.500
Pd 0.000 0.000 0.500
Pd 0.000 0.500 0.130
Pd 0.500 0.000 0.870

As for the energy of formation: -0.763 eV/atom. The total moment is 0.000 Bohr magnetons per cell. Its crystal system is tetragonal.


[13]
Below is Nd2Ga3Pd4Au after structural relaxation, with properties calculated at the PBE-GGA level.

Lattice parameters (Å, degrees): 4.097 4.097 11.732 90.00 90.00 90.00
Atoms (fractional coordinates):
Pd 0.500 0.500 0.000
Pd 0.500 0.000 0.659
Pd 0.000 0.500 0.341
Pd 0.000 0.000 0.000
Au 0.500 0.500 0.500
Ga 0.000 0.000 0.500
Ga 0.000 0.500 0.128
Ga 0.500 0.000 0.872
Nd 0.000 0.500 0.741
Nd 0.500 0.000 0.259

As for the energy of formation: -0.746 eV/atom. The total moment is 0.000 Bohr magnetons per cell. Its crystal system is tetragonal.


[14]
Below is PrNdGaAu after structural relaxation, with properties calculated at the PBE-GGA level.

Lattice parameters (Å, degrees): 5.291 5.291 5.291 60.00 60.00 60.00
Site moments in Bohr magnetons follow the coordinates.
Atoms (fractional coordinates):
Nd 0.500 0.500 0.500  0.09
Au 0.750 0.750 0.750  0.02
Ga 0.250 0.250 0.250  0.00
Pr 0.000 0.000 0.000  0.09

As for the energy of formation: -0.610 eV/atom. The total moment is 0.341 Bohr magnetons per cell. Its crystal system is cubic. As for the energy above the most stable polymorph in this dataset: 40 meV per atom.


[15]
Below is PrNd2Ga2Au2 after structural relaxation, with properties calculated at the PBE-GGA level.

Lattice parameters (Å, degrees): 4.639 4.639 9.844 76.37 76.37 60.00
Atoms (fractional coordinates):
Nd 0.875 0.875 0.376
Nd 0.125 0.125 0.624
Ga 0.740 0.740 0.779
Ga 0.260 0.260 0.221
Pr 0.000 0.000 0.000
Au 0.400 0.400 0.801
Au 0.600 0.600 0.199

As for the energy of formation: -0.628 eV/atom. The total moment is 0.001 Bohr magnetons per cell. Its crystal system is trigonal.


[16]
Below is PrNdGaAu after structural relaxation, with properties calculated at the PBE-GGA level.

Lattice parameters (Å, degrees): 4.017 4.622 6.093 90.00 109.25 90.00
Atoms (fractional coordinates):
Ga 0.422 0.000 0.843
Au 0.579 0.500 0.157
Pr 0.858 0.500 0.717
Nd 0.141 0.000 0.283

As for the energy of formation: -0.651 eV/atom. The total moment is 0.000 Bohr magnetons per cell. Its crystal system is orthorhombic. As for the energy above the most stable polymorph in this dataset: 0 meV per atom.


[17]
Below is NdGaPtAu after structural relaxation, with properties calculated at the PBE-GGA level.

Lattice parameters (Å, degrees): 4.891 4.891 4.891 60.00 60.00 60.00
Atoms (fractional coordinates):
Pt 0.750 0.750 0.750
Au 0.250 0.250 0.250
Nd 0.000 0.000 0.000
Ga 0.500 0.500 0.500

As for the energy of formation: -0.661 eV/atom. The total moment is 0.000 Bohr magnetons per cell. Its crystal system is cubic.


[18]
Below is NdGa4Pt2Au after structural relaxation, with properties calculated at the PBE-GGA level.

Lattice parameters (Å, degrees): 4.317 4.317 9.563 76.96 76.96 60.00
Atoms (fractional coordinates):
Nd 0.000 0.000 0.000
Ga 0.125 0.125 0.626
Ga 0.602 0.602 0.194
Ga 0.875 0.875 0.374
Ga 0.398 0.398 0.806
Pt 0.248 0.248 0.256
Pt 0.752 0.752 0.744
Au 0.500 0.500 0.500

As for the energy of formation: -0.593 eV/atom. The total moment is 0.000 Bohr magnetons per cell. Its crystal system is trigonal.


[19]
Below is NdGaPt3Au after structural relaxation, with properties calculated at the PBE-GGA level.

Lattice parameters (Å, degrees): 5.759 7.112 7.016 120.45 90.00 90.00
Atoms (fractional coordinates):
Pt 0.250 0.173 0.346
Pt 0.500 0.303 0.000
Pt 0.750 0.827 0.654
Pt 0.000 0.303 0.000
Pt 0.500 0.697 0.000
Pt 0.000 0.697 0.000
Au 0.750 0.062 0.125
Au 0.250 0.938 0.875
Nd 0.750 0.300 0.600
Nd 0.250 0.700 0.400
Ga 0.750 0.629 0.257
Ga 0.250 0.371 0.743

As for the energy of formation: -0.507 eV/atom. The total moment is 0.000 Bohr magnetons per cell. Its crystal system is orthorhombic.


[20]
Below is NdGa2PtAu2 after structural relaxation, with properties calculated at the PBE-GGA level.

Lattice parameters (Å, degrees): 4.060 4.060 10.265 101.41 101.41 90.00
Atoms (fractional coordinates):
Ga 0.660 0.660 0.320
Ga 0.340 0.340 0.680
Nd 0.500 0.500 0.000
Pt 0.000 0.000 0.000
Au 0.250 0.750 0.500
Au 0.750 0.250 0.500

As for the energy of formation: -0.104 eV/atom. The total moment is 0.000 Bohr magnetons per cell. Its crystal system is tetragonal.